In3P, relaxed, DFT GGA-PBE; E = -3.120 eV per atom; ΔH_f (0 K) = 1.15 eV/f.u.; spin magnetization = 0.0 Bohr magnetons per cell
1.0
5.8588 0.0000 0.0000
0.0000 5.8588 0.0000
0.0000 0.0000 5.8588
In P
6 2
Direct
0.0000 0.2500 0.5000
0.0000 0.7500 0.5000
0.2500 0.5000 0.0000
0.5000 0.0000 0.2500
0.5000 0.0000 0.7500
0.7500 0.5000 0.0000
0.0000 0.0000 0.0000
0.5000 0.5000 0.5000

InP5, relaxed, DFT GGA-PBE; E = -4.739 eV per atom; ΔH_f (0 K) = 1.35 eV/f.u.; relative energy among the computed polymorphs = 3.8 meV per atom; spin magnetization = 0.0 Bohr magnetons per cell
1.0
4.7641 -1.6280 0.0000
4.7641 1.6280 0.0000
-0.6444 0.0000 8.0018
In P
1 5
Direct
0.0000 0.0000 0.0000
0.1755 0.1755 0.7097
0.2672 0.2672 0.2038
0.5199 0.5199 0.5858
0.7099 0.7099 0.3676
0.8395 0.8395 0.6203

InP3, relaxed, DFT GGA-PBE; E = -4.332 eV per atom; ΔH_f (0 K) = 1.64 eV/f.u.; spin magnetization = 0.0 Bohr magnetons per cell
1.0
6.2811 0.0000 0.0000
-3.1406 5.4396 0.0000
0.0000 0.0000 5.2758
In P
2 6
Direct
0.3333 0.6667 0.2500
0.6667 0.3333 0.7500
0.1187 0.2373 0.7500
0.1187 0.8813 0.7500
0.2373 0.1187 0.2500
0.7627 0.8813 0.7500
0.8813 0.1187 0.2500
0.8813 0.7627 0.2500

InP2, relaxed, DFT GGA-PBE; E = -4.443 eV per atom; ΔH_f (0 K) = 0.23 eV/f.u.; spin magnetization = 0.0 Bohr magnetons per cell
1.0
3.2884 0.0000 0.0000
-1.6442 2.8479 0.0000
0.0000 0.0000 13.8395
In P
2 4
Direct
0.0000 0.0000 0.2500
0.0000 0.0000 0.7500
0.3333 0.6667 0.0450
0.3333 0.6667 0.4550
0.6667 0.3333 0.5450
0.6667 0.3333 0.9550

InP3, relaxed, DFT GGA-PBE; E = -4.796 eV per atom; ΔH_f (0 K) = -0.21 eV/f.u.; spin magnetization = 0.0 Bohr magnetons per cell
1.0
3.7573 2.1693 3.3856
-3.7573 2.1693 3.3856
0.0000 -4.3385 3.3856
In P
2 6
Direct
0.2280 0.2280 0.2280
0.7720 0.7720 0.7720
0.2565 0.7020 0.7020
0.2980 0.2980 0.7435
0.2980 0.7435 0.2980
0.7020 0.2565 0.7020
0.7020 0.7020 0.2565
0.7435 0.2980 0.2980

In5P4, relaxed, DFT GGA-PBE; E = -3.784 eV per atom; ΔH_f (0 K) = 1.27 eV/f.u.; relative energy among the computed polymorphs = 0.0 meV per atom; spin magnetization = 0.0 Bohr magnetons per cell
1.0
7.8554 0.0000 0.0000
-3.9277 6.8030 0.0000
0.0000 0.0000 7.5575
In P
10 8
Direct
0.0000 0.2517 0.2500
0.0000 0.7483 0.7500
0.2517 0.0000 0.2500
0.2517 0.2517 0.7500
0.3333 0.6667 0.0000
0.3333 0.6667 0.5000
0.6667 0.3333 0.0000
0.6667 0.3333 0.5000
0.7483 0.0000 0.7500
0.7483 0.7483 0.2500
0.0000 0.0000 0.0000
0.0000 0.0000 0.5000
0.0000 0.4174 0.7500
0.0000 0.5826 0.2500
0.4174 0.0000 0.7500
0.4174 0.4174 0.2500
0.5826 0.0000 0.2500
0.5826 0.5826 0.7500

InP3, relaxed, DFT GGA-PBE; E = -4.097 eV per atom; ΔH_f (0 K) = 2.58 eV/f.u.; spin magnetization = 0.0 Bohr magnetons per cell
1.0
0.0000 3.2598 3.2598
3.2598 0.0000 3.2598
3.2598 3.2598 0.0000
In P
1 3
Direct
0.0000 0.0000 0.0000
0.2500 0.2500 0.2500
0.5000 0.5000 0.5000
0.7500 0.7500 0.7500

InP2, relaxed, DFT GGA-PBE; E = -4.472 eV per atom; ΔH_f (0 K) = 0.14 eV/f.u.; spin magnetization = 0.0 Bohr magnetons per cell
1.0
6.3942 0.0000 0.0000
0.0000 6.3942 0.0000
0.0000 0.0000 6.3942
In P
4 8
Direct
0.0000 0.0000 0.0000
0.0000 0.5000 0.5000
0.5000 0.0000 0.5000
0.5000 0.5000 0.0000
0.0951 0.5951 0.9049
0.0951 0.9049 0.4049
0.4049 0.0951 0.9049
0.4049 0.4049 0.4049
0.5951 0.5951 0.5951
0.5951 0.9049 0.0951
0.9049 0.0951 0.5951
0.9049 0.4049 0.0951